First-principles (PBE-GGA) data for a geometry-optimized CaSmIn2Te4 structure, as listed in the Alexandria database.

a = 4.4744 Å, b = 7.8052 Å, c = 8.1585 Å
α = 108.41°, β = 90.00°, γ = 90.00°
Fractional coordinates of all 8 atoms:
In 0.5000 0.0000 0.5000
In 0.0000 0.5000 0.5000
Sm 0.0000 0.0000 0.0000
Te 0.5000 0.2383 0.2352
Te 0.0000 0.7533 0.2386
Te 0.0000 0.2467 0.7614
Te 0.5000 0.7617 0.7648
Ca 0.5000 0.5000 0.0000

Properties
* DOS(E_F): 0.4599 states/eV/atom
* magnetic moment: 0.000 μB per cell
* ΔE_f (raw): -920.8 meV per atom
* symmetry: No. 10